DFT (GGA-PBE) results for a geometry-optimized NaPmTl2 structure.

Values from the calculation:
symmetry: R3m (160)

a = 3.6807 Å, b = 3.6807 Å, c = 10.6114 Å
α = 80.01°, β = 80.01°, γ = 60.00°
Last column: nearest neighbours and their distance in Å.
Sites, in units of the cell vectors:
Tl: 0.0844 0.0844 0.7468  3 Na 3.33, 3 Pm 3.38, 6 Tl 3.68
Na: 0.4999 0.4999 0.5004  6 Tl 3.33-3.34, 6 Na 3.68
Pm: 0.6667 0.6667 0.9998  6 Tl 3.38, 6 Pm 3.68
Tl: 0.2490 0.2490 0.2529  3 Na 3.34, 3 Pm 3.38, 6 Tl 3.68

=====

DFT (GGA-PBE) results for a geometry-optimized La2Sn4Pd3Rh structure.

Values from the calculation:
symmetry: P-4m2 (115)

a = 4.5945 Å, b = 4.5945 Å, c = 10.8380 Å
α = 90.00°, β = 90.00°, γ = 90.00°
Last column: nearest neighbours and their distance in Å.
Sites, in units of the cell vectors:
Pd: 0.0000 0.5000 0.1333  5 Sn 2.62-2.71
Sn: 0.5000 0.0000 0.6247  3 Pd 2.62-2.67, 2 Rh 2.67
Rh: 0.5000 0.5000 0.5000  4 Sn 2.67
Pd: 0.0000 0.0000 0.5000  4 Sn 2.67
Sn: 0.0000 0.5000 0.3753  3 Pd 2.62-2.67, 2 Rh 2.67
Sn: 0.0000 0.0000 0.0000  4 Pd 2.71
Sn: 0.5000 0.5000 0.0000  4 Pd 2.71
Pd: 0.5000 0.0000 0.8667  5 Sn 2.62-2.71
La: 0.0000 0.5000 0.7434  8 Sn 3.49-3.61, 2 Rh 3.50, 6 Pd 3.50-3.51
La: 0.5000 0.0000 0.2566  8 Sn 3.49-3.61, 2 Rh 3.50, 6 Pd 3.50-3.51

=====

| no. | density of states at the Fermi level (states/eV/atom) | magnetic moment (μB/f.u.) | energy of formation (eV/atom) |
| --- | --- | --- | --- |
| 1 | 1.090 | 0.002 | -0.11 |
| 2 | 0.673 | 0.000 | -0.79 |